(1)
{"formula": "Mg2TaNi", "functional": "PBE", "state": "relaxed", "space_group": "Cmmm (65)", "m_tot_mub_per_fu": 0.0, "e_form_ev_per_atom": 0.29, "lattice_angstrom": [[5.4484, 0.0000, 0.0000], [0.0000, 9.1702, 0.0000], [0.0000, 0.0000, 2.7393]], "species": ["Mg", "Mg", "Mg", "Mg", "Ta", "Ta", "Ni", "Ni"], "frac_coords": [[0.2500, 0.2500, 0.0000], [0.2500, 0.7500, 0.0000], [0.7500, 0.2500, 0.0000], [0.7500, 0.7500, 0.0000], [0.0000, 0.0000, 0.5000], [0.5000, 0.5000, 0.5000], [0.0000, 0.5000, 0.5000], [0.5000, 0.0000, 0.5000]]}



(2)
{"formula": "MgTaNi14", "functional": "PBE", "state": "relaxed", "space_group": "P4/mmm (123)", "m_tot_mub_per_fu": 5.8, "e_form_ev_per_atom": -0.10, "lattice_angstrom": [[5.0850, 0.0000, 0.0000], [0.0000, 5.0850, 0.0000], [0.0000, 0.0000, 7.1561]], "species": ["Mg", "Ta", "Ni", "Ni", "Ni", "Ni", "Ni", "Ni", "Ni", "Ni", "Ni", "Ni", "Ni", "Ni", "Ni", "Ni"], "frac_coords": [[0.0000, 0.0000, 0.0000], [0.5000, 0.5000, 0.0000], [0.0000, 0.0000, 0.5000], [0.0000, 0.5000, 0.0000], [0.0000, 0.5000, 0.5000], [0.2512, 0.2512, 0.2605], [0.2512, 0.2512, 0.7395], [0.2512, 0.7488, 0.2605], [0.2512, 0.7488, 0.7395], [0.5000, 0.0000, 0.0000], [0.5000, 0.0000, 0.5000], [0.5000, 0.5000, 0.5000], [0.7488, 0.2512, 0.2605], [0.7488, 0.2512, 0.7395], [0.7488, 0.7488, 0.2605], [0.7488, 0.7488, 0.7395]]}



(3)
{"formula": "Mg2TaNiTe", "functional": "PBE", "state": "relaxed", "space_group": "P4/mmm (123)", "m_tot_mub_per_fu": 0.2, "raw_formation_energy_ev_per_atom": 0.24, "lattice_angstrom": [[4.8040, 0.0000, 0.0000], [0.0000, 4.8040, 0.0000], [0.0000, 0.0000, 4.6333]], "species": ["Mg", "Mg", "Ta", "Ni", "Te"], "frac_coords": [[0.0000, 0.5000, 0.0000], [0.5000, 0.0000, 0.0000], [0.0000, 0.0000, 0.5000], [0.0000, 0.0000, 0.0000], [0.5000, 0.5000, 0.5000]]}



(4)
{"formula": "MgTaTiNi2", "functional": "PBE", "state": "relaxed", "space_group": "P4/mmm (123)", "m_tot_mub_per_fu": 0.0, "e_form_ev_per_atom": 0.92, "lattice_angstrom": [[4.6337, 0.0000, 0.0000], [0.0000, 4.6337, 0.0000], [0.0000, 0.0000, 4.6922]], "species": ["Mg", "Ta", "Ti", "Ni", "Ni"], "frac_coords": [[0.0000, 0.0000, 0.0000], [0.5000, 0.5000, 0.5000], [0.5000, 0.5000, 0.0000], [0.0000, 0.5000, 0.5000], [0.5000, 0.0000, 0.5000]]}



(5)
{"formula": "Mg2TaNiW", "functional": "PBE", "state": "relaxed", "space_group": "P4/mmm (123)", "m_tot_mub_per_fu": 0.0, "e_form_ev_per_atom": 1.81, "lattice_angstrom": [[4.9178, 0.0000, 0.0000], [0.0000, 4.9178, 0.0000], [0.0000, 0.0000, 4.3987]], "species": ["Mg", "Mg", "Ta", "Ni", "W"], "frac_coords": [[0.0000, 0.5000, 0.0000], [0.5000, 0.0000, 0.0000], [0.0000, 0.0000, 0.5000], [0.5000, 0.5000, 0.5000], [0.5000, 0.5000, 0.0000]]}



(6)
{"formula": "TbMgNi2", "functional": "PBE", "state": "relaxed", "space_group": "P4/mmm (123)", "m_tot_mub_per_fu": 0.0, "e_form_ev_per_atom": -0.24, "lattice_angstrom": [[3.2657, 0.0000, 0.0000], [0.0000, 3.2657, 0.0000], [0.0000, 0.0000, 6.3358]], "species": ["Tb", "Mg", "Ni", "Ni"], "frac_coords": [[0.0000, 0.0000, 0.0000], [0.0000, 0.0000, 0.5000], [0.5000, 0.5000, 0.2798], [0.5000, 0.5000, 0.7202]]}



(7)
{"formula": "Tb8Mg2Ni", "functional": "PBE", "state": "relaxed", "space_group": "C2/m (12)", "m_tot_mub_per_fu": 0.0, "e_form_ev_per_atom": -0.02, "lattice_angstrom": [[8.7195, -2.7555, 0.0000], [8.7195, 2.7555, 0.0000], [-2.4834, 0.0000, 6.4948]], "species": ["Tb", "Tb", "Tb", "Tb", "Tb", "Tb", "Tb", "Tb", "Mg", "Mg", "Ni"], "frac_coords": [[0.0139, 0.0139, 0.2760], [0.1961, 0.1961, 0.7552], [0.3570, 0.3570, 0.5702], [0.4024, 0.4024, 0.0900], [0.5976, 0.5976, 0.9100], [0.6430, 0.6430, 0.4298], [0.8039, 0.8039, 0.2448], [0.9861, 0.9861, 0.7240], [0.1835, 0.1835, 0.1983], [0.8165, 0.8165, 0.8017], [0.5000, 0.5000, 0.5000]]}



(8)
{"formula": "Tb3MgNi8", "functional": "PBE", "state": "relaxed", "space_group": "R3m (160)", "m_tot_mub_per_fu": 0.0, "e_form_ev_per_atom": -0.42, "lattice_angstrom": [[2.5066, 1.4472, 8.2244], [-2.5066, 1.4472, 8.2244], [0.0000, -2.8944, 8.2244]], "species": ["Tb", "Tb", "Tb", "Mg", "Ni", "Ni", "Ni", "Ni", "Ni", "Ni", "Ni", "Ni"], "frac_coords": [[0.0000, 0.0000, 0.0000], [0.1276, 0.1276, 0.1276], [0.6178, 0.6178, 0.6178], [0.4959, 0.4959, 0.4959], [0.0589, 0.0589, 0.5623], [0.0589, 0.5623, 0.0589], [0.0636, 0.5607, 0.5607], [0.3108, 0.3108, 0.3108], [0.5607, 0.0636, 0.5607], [0.5607, 0.5607, 0.0636], [0.5623, 0.0589, 0.0589], [0.8113, 0.8113, 0.8113]]}



(9)
{"formula": "Tb4MgNi2", "functional": "PBE", "state": "relaxed", "space_group": "R-3m (166)", "m_tot_mub_per_fu": 0.0, "e_form_ev_per_atom": -0.10, "lattice_angstrom": [[2.4116, 1.3923, 8.7308], [-2.4116, 1.3923, 8.7308], [0.0000, -2.7846, 8.7308]], "species": ["Tb", "Tb", "Tb", "Tb", "Mg", "Ni", "Ni"], "frac_coords": [[0.1102, 0.1102, 0.1102], [0.2959, 0.2959, 0.2959], [0.7041, 0.7041, 0.7041], [0.8898, 0.8898, 0.8898], [0.5000, 0.5000, 0.5000], [0.4022, 0.4022, 0.4022], [0.5978, 0.5978, 0.5978]]}



(10)
{"formula": "Tb5Mg2Ni2", "functional": "PBE", "state": "relaxed", "space_group": "Cmce (64)", "m_tot_mub_per_fu": 0.0, "e_form_ev_per_atom": -0.16, "lattice_angstrom": [[8.5089, -3.6911, 0.0000], [8.5089, 3.6911, 0.0000], [0.0000, 0.0000, 7.4253]], "species": ["Tb", "Tb", "Tb", "Tb", "Tb", "Tb", "Tb", "Tb", "Tb", "Tb", "Mg", "Mg", "Mg", "Mg", "Ni", "Ni", "Ni", "Ni"], "frac_coords": [[0.0000, 0.0000, 0.0000], [0.0693, 0.7083, 0.6787], [0.2083, 0.5693, 0.1787], [0.2917, 0.9307, 0.6787], [0.4307, 0.7917, 0.1787], [0.5000, 0.5000, 0.5000], [0.5693, 0.2083, 0.8213], [0.7083, 0.0693, 0.3213], [0.7917, 0.4307, 0.8213], [0.9307, 0.2917, 0.3213], [0.2274, 0.2274, 0.0000], [0.2726, 0.2726, 0.5000], [0.7274, 0.7274, 0.5000], [0.7726, 0.7726, 0.0000], [0.1210, 0.8790, 0.3795], [0.3790, 0.6210, 0.8795], [0.6210, 0.3790, 0.1205], [0.8790, 0.1210, 0.6205]]}



(11)
{"formula": "Tb3Mg3Ni", "functional": "PBE", "state": "relaxed", "space_group": "Fd-3m (227)", "m_tot_mub_per_fu": 0.0, "e_form_ev_per_atom": -0.15, "lattice_angstrom": [[0.0000, 7.1273, 7.1273], [7.1273, 0.0000, 7.1273], [7.1273, 7.1273, 0.0000]], "species": ["Tb", "Tb", "Tb", "Tb", "Tb", "Tb", "Tb", "Tb", "Tb", "Tb", "Tb", "Tb", "Mg", "Mg", "Mg", "Mg", "Mg", "Mg", "Mg", "Mg", "Mg", "Mg", "Mg", "Mg", "Ni", "Ni", "Ni", "Ni"], "frac_coords": [[0.0744, 0.0744, 0.6756], [0.0744, 0.6756, 0.0744], [0.0744, 0.6756, 0.6756], [0.3244, 0.3244, 0.9256], [0.3244, 0.9256, 0.3244], [0.3244, 0.9256, 0.9256], [0.6756, 0.0744, 0.0744], [0.6756, 0.0744, 0.6756], [0.6756, 0.6756, 0.0744], [0.9256, 0.3244, 0.3244], [0.9256, 0.3244, 0.9256], [0.9256, 0.9256, 0.3244], [0.0000, 0.5000, 0.5000], [0.2948, 0.2948, 0.2948], [0.2948, 0.2948, 0.6155], [0.2948, 0.6155, 0.2948], [0.3845, 0.7052, 0.7052], [0.5000, 0.0000, 0.5000], [0.5000, 0.5000, 0.0000], [0.5000, 0.5000, 0.5000], [0.6155, 0.2948, 0.2948], [0.7052, 0.3845, 0.7052], [0.7052, 0.7052, 0.3845], [0.7052, 0.7052, 0.7052], [0.0000, 0.0000, 0.0000], [0.0000, 0.0000, 0.5000], [0.0000, 0.5000, 0.0000], [0.5000, 0.0000, 0.0000]]}



(12)
{"formula": "Tb11Mg9Ni4", "functional": "PBE", "state": "relaxed", "space_group": "Cmmm (65)", "m_tot_mub_per_fu": 0.6, "e_form_ev_per_atom": -0.22, "lattice_angstrom": [[7.3259, -11.0967, 0.0000], [7.3259, 11.0967, 0.0000], [0.0000, 0.0000, 3.6168]], "species": ["Tb", "Tb", "Tb", "Tb", "Tb", "Tb", "Tb", "Tb", "Tb", "Tb", "Tb", "Mg", "Mg", "Mg", "Mg", "Mg", "Mg", "Mg", "Mg", "Mg", "Ni", "Ni", "Ni", "Ni"], "frac_coords": [[0.0000, 0.0000, 0.0000], [0.0845, 0.4178, 0.0000], [0.1556, 0.8444, 0.0000], [0.3129, 0.3129, 0.0000], [0.3732, 0.6268, 0.0000], [0.4178, 0.0845, 0.0000], [0.5822, 0.9155, 0.0000], [0.6268, 0.3732, 0.0000], [0.6871, 0.6871, 0.0000], [0.8444, 0.1556, 0.0000], [0.9155, 0.5822, 0.0000], [0.0791, 0.2197, 0.5000], [0.1548, 0.6352, 0.5000], [0.2197, 0.0791, 0.5000], [0.3648, 0.8452, 0.5000], [0.5000, 0.5000, 0.5000], [0.6352, 0.1548, 0.5000], [0.7803, 0.9209, 0.5000], [0.8452, 0.3648, 0.5000], [0.9209, 0.7803, 0.5000], [0.2526, 0.4511, 0.5000], [0.4511, 0.2526, 0.5000], [0.5489, 0.7474, 0.5000], [0.7474, 0.5489, 0.5000]]}



(13)
{"formula": "Tb2Mg3Ni2", "functional": "PBE", "state": "relaxed", "space_group": "Cmmm (65)", "m_tot_mub_per_fu": 0.0, "de_polymorph_kj_per_mol_fu": 0, "e_form_ev_per_atom": -0.29, "lattice_angstrom": [[3.8867, 0.0000, 0.0000], [0.0000, 21.4148, 0.0000], [0.0000, 0.0000, 3.6761]], "species": ["Tb", "Tb", "Tb", "Tb", "Mg", "Mg", "Mg", "Mg", "Mg", "Mg", "Ni", "Ni", "Ni", "Ni"], "frac_coords": [[0.0000, 0.1773, 0.0000], [0.0000, 0.8227, 0.0000], [0.5000, 0.3227, 0.0000], [0.5000, 0.6773, 0.0000], [0.0000, 0.0000, 0.0000], [0.0000, 0.4195, 0.5000], [0.0000, 0.5805, 0.5000], [0.5000, 0.0805, 0.5000], [0.5000, 0.5000, 0.0000], [0.5000, 0.9195, 0.5000], [0.0000, 0.2872, 0.5000], [0.0000, 0.7128, 0.5000], [0.5000, 0.2128, 0.5000], [0.5000, 0.7872, 0.5000]]}



(14)
{"formula": "Tb4Mg5Ni2", "functional": "PBE", "state": "relaxed", "space_group": "P2/m (10)", "m_tot_mub_per_fu": 0.0, "e_form_ev_per_atom": -0.19, "lattice_angstrom": [[7.9412, 0.0000, 0.0000], [0.0000, 3.5534, 0.0000], [-0.6291, 0.0000, 9.6083]], "species": ["Tb", "Tb", "Tb", "Tb", "Mg", "Mg", "Mg", "Mg", "Mg", "Ni", "Ni"], "frac_coords": [[0.1638, 0.0000, 0.3390], [0.2063, 0.0000, 0.9482], [0.7937, 0.0000, 0.0518], [0.8362, 0.0000, 0.6610], [0.1804, 0.5000, 0.6482], [0.4541, 0.5000, 0.1741], [0.5000, 0.5000, 0.5000], [0.5459, 0.5000, 0.8259], [0.8196, 0.5000, 0.3518], [0.0628, 0.5000, 0.1340], [0.9372, 0.5000, 0.8660]]}



(15)
{"formula": "Tb3Mg2Ni4", "functional": "PBE", "state": "relaxed", "space_group": "C2/m (12)", "m_tot_mub_per_fu": 0.0, "e_form_ev_per_atom": -0.32, "lattice_angstrom": [[4.9061, -2.0407, 0.0000], [4.9061, 2.0407, 0.0000], [-0.6704, 0.0000, 8.7104]], "species": ["Tb", "Tb", "Tb", "Mg", "Mg", "Ni", "Ni", "Ni", "Ni"], "frac_coords": [[0.0000, 0.0000, 0.0000], [0.3709, 0.3709, 0.6190], [0.6291, 0.6291, 0.3810], [0.3269, 0.3269, 0.2175], [0.6731, 0.6731, 0.7825], [0.0778, 0.0778, 0.6149], [0.2837, 0.2837, 0.9245], [0.7163, 0.7163, 0.0755], [0.9222, 0.9222, 0.3851]]}



(16)
{"formula": "TbMgNi2", "functional": "PBE", "state": "relaxed", "space_group": "Amm2 (38)", "m_tot_mub_per_fu": 0.0, "e_form_ev_per_atom": -0.30, "lattice_angstrom": [[3.9531, 0.0000, 0.0000], [0.0000, 3.6915, 0.0000], [0.0000, 0.0000, 9.8622]], "species": ["Tb", "Tb", "Mg", "Mg", "Ni", "Ni", "Ni", "Ni"], "frac_coords": [[0.0000, 0.0000, 0.0000], [0.0000, 0.5000, 0.5000], [0.5000, 0.0000, 0.7113], [0.5000, 0.5000, 0.2113], [0.0000, 0.0000, 0.2806], [0.0000, 0.5000, 0.7806], [0.5000, 0.0000, 0.4190], [0.5000, 0.5000, 0.9190]]}



(17)
{"formula": "TbMg8Ni4", "functional": "PBE", "state": "relaxed", "space_group": "I4/mmm (139)", "m_tot_mub_per_fu": 0.0, "e_form_ev_per_atom": -0.14, "lattice_angstrom": [[-4.6227, 4.6227, 2.6925], [4.6227, -4.6227, 2.6925], [4.6227, 4.6227, -2.6925]], "species": ["Tb", "Mg", "Mg", "Mg", "Mg", "Mg", "Mg", "Mg", "Mg", "Ni", "Ni", "Ni", "Ni"], "frac_coords": [[0.0000, 0.0000, 0.0000], [0.0000, 0.3362, 0.3362], [0.0000, 0.6638, 0.6638], [0.2800, 0.5000, 0.7800], [0.3362, 0.0000, 0.3362], [0.5000, 0.2800, 0.7800], [0.5000, 0.7200, 0.2200], [0.6638, 0.0000, 0.6638], [0.7200, 0.5000, 0.2200], [0.0000, 0.0000, 0.5000], [0.0000, 0.5000, 0.0000], [0.5000, 0.0000, 0.0000], [0.5000, 0.5000, 0.5000]]}



(18)
{"formula": "Tb12MgNi6", "functional": "PBE", "state": "relaxed", "space_group": "Im-3 (204)", "m_tot_mub_per_fu": 0.0, "e_form_ev_per_atom": -0.29, "lattice_angstrom": [[-4.8920, 4.8920, 4.8920], [4.8920, -4.8920, 4.8920], [4.8920, 4.8920, -4.8920]], "species": ["Tb", "Tb", "Tb", "Tb", "Tb", "Tb", "Tb", "Tb", "Tb", "Tb", "Tb", "Tb", "Mg", "Ni", "Ni", "Ni", "Ni", "Ni", "Ni"], "frac_coords": [[0.1189, 0.8131, 0.3058], [0.1869, 0.3058, 0.4928], [0.1869, 0.6942, 0.8811], [0.3058, 0.1189, 0.8131], [0.3058, 0.4928, 0.1869], [0.4928, 0.1869, 0.3058], [0.5072, 0.8131, 0.6942], [0.6942, 0.5072, 0.8131], [0.6942, 0.8811, 0.1869], [0.8131, 0.3058, 0.1189], [0.8131, 0.6942, 0.5072], [0.8811, 0.1869, 0.6942], [0.0000, 0.0000, 0.0000], [0.1225, 0.6225, 0.5000], [0.3775, 0.5000, 0.8775], [0.5000, 0.1225, 0.6225], [0.5000, 0.8775, 0.3775], [0.6225, 0.5000, 0.1225], [0.8775, 0.3775, 0.5000]]}



(19)
{"formula": "Tb4Mg3Ni", "functional": "PBE", "state": "relaxed", "space_group": "P4/mmm (123)", "m_tot_mub_per_fu": 0.0, "e_form_ev_per_atom": -0.14, "lattice_angstrom": [[3.5638, 0.0000, 0.0000], [0.0000, 3.5638, 0.0000], [0.0000, 0.0000, 15.9811]], "species": ["Tb", "Tb", "Tb", "Tb", "Mg", "Mg", "Mg", "Ni"], "frac_coords": [[0.0000, 0.0000, 0.0995], [0.0000, 0.0000, 0.3692], [0.0000, 0.0000, 0.6308], [0.0000, 0.0000, 0.9005], [0.5000, 0.5000, 0.2375], [0.5000, 0.5000, 0.5000], [0.5000, 0.5000, 0.7625], [0.5000, 0.5000, 0.0000]]}



(20)
{"formula": "Tb4MgNi", "functional": "PBE", "state": "relaxed", "space_group": "F-43m (216)", "m_tot_mub_per_fu": 0.0, "de_polymorph_kj_per_mol_fu": 0, "e_form_ev_per_atom": -0.20, "lattice_angstrom": [[0.0000, 6.8309, 6.8309], [6.8309, 0.0000, 6.8309], [6.8309, 6.8309, 0.0000]], "species": ["Tb", "Tb", "Tb", "Tb", "Tb", "Tb", "Tb", "Tb", "Tb", "Tb", "Tb", "Tb", "Tb", "Tb", "Tb", "Tb", "Mg", "Mg", "Mg", "Mg", "Ni", "Ni", "Ni", "Ni"], "frac_coords": [[0.1849, 0.1849, 0.8151], [0.1849, 0.8151, 0.1849], [0.1849, 0.8151, 0.8151], [0.4041, 0.4041, 0.4041], [0.4041, 0.4041, 0.7876], [0.4041, 0.7876, 0.4041], [0.5618, 0.5618, 0.9382], [0.5618, 0.9382, 0.5618], [0.5618, 0.9382, 0.9382], [0.7876, 0.4041, 0.4041], [0.8151, 0.1849, 0.1849], [0.8151, 0.1849, 0.8151], [0.8151, 0.8151, 0.1849], [0.9382, 0.5618, 0.5618], [0.9382, 0.5618, 0.9382], [0.9382, 0.9382, 0.5618], [0.1704, 0.1704, 0.1704], [0.1704, 0.1704, 0.4887], [0.1704, 0.4887, 0.1704], [0.4887, 0.1704, 0.1704], [0.1760, 0.6080, 0.6080], [0.6080, 0.1760, 0.6080], [0.6080, 0.6080, 0.1760], [0.6080, 0.6080, 0.6080]]}